Compound: SrCa2Zn2
Source: Alexandria
Functional: SCAN
Structure: single point on PBEsol structure

```
data_SrCa2Zn2
_chemical_formula_sum 'Sr2 Ca4 Zn4'
_symmetry_space_group_name_H-M 'I 4/m m m'
_symmetry_Int_Tables_number 139
_symmetry_space_group_name_Hall '-I 4 2'
_cell_length_a 4.9052
_cell_length_b 4.9052
_cell_length_c 12.6250
_cell_angle_alpha 90.00
_cell_angle_beta 90.00
_cell_angle_gamma 90.00
loop_
_atom_site_label
_atom_site_type_symbol
_atom_site_fract_x
_atom_site_fract_y
_atom_site_fract_z
Sr1 Sr 0.0000 0.0000 0.0000
Ca1 Ca 0.0000 0.5000 0.2500
Zn1 Zn 0.0000 0.0000 0.4029
```

**Crystal system**: tetragonal
**Formation energy**: -0.13 eV per atom

---

Compound: NaYCd2
Source: Alexandria
Functional: SCAN
Structure: single point on PBEsol structure

```
data_NaYCd2
_chemical_formula_sum 'Na4 Y4 Cd8'
_symmetry_space_group_name_H-M 'F m -3 m'
_symmetry_Int_Tables_number 225
_symmetry_space_group_name_Hall '-F 4 2 3'
_cell_length_a 7.2537
_cell_length_b 7.2537
_cell_length_c 7.2537
_cell_angle_alpha 90.00
_cell_angle_beta 90.00
_cell_angle_gamma 90.00
loop_
_atom_site_label
_atom_site_type_symbol
_atom_site_fract_x
_atom_site_fract_y
_atom_site_fract_z
Na1 Na 0.0000 0.0000 0.0000
Y1 Y 0.0000 0.0000 0.5000
Cd1 Cd 0.2500 0.2500 0.2500
```

**Crystal system**: cubic
**Formation energy**: -0.25 eV per atom

---

Compound: Ca2IrSN
Source: Alexandria
Functional: SCAN
Structure: single point on PBEsol structure

```
data_Ca2IrSN
_chemical_formula_sum 'Ca2 Ir1 S1 N1'
_symmetry_space_group_name_H-M 'P 4/m m m'
_symmetry_Int_Tables_number 123
_symmetry_space_group_name_Hall '-P 4 2'
_cell_length_a 5.0102
_cell_length_b 5.0102
_cell_length_c 3.7047
_cell_angle_alpha 90.00
_cell_angle_beta 90.00
_cell_angle_gamma 90.00
loop_
_atom_site_label
_atom_site_type_symbol
_atom_site_fract_x
_atom_site_fract_y
_atom_site_fract_z
Ca1 Ca 0.0000 0.5000 0.0000
Ir1 Ir 0.0000 0.0000 0.5000
S1 S 0.5000 0.5000 0.5000
N1 N 0.0000 0.0000 0.0000
```

**Crystal system**: tetragonal
**Formation energy (no corrections)**: -6.0 eV per formula unit

---

Compound: Sr2FeAs
Source: Alexandria
Functional: SCAN
Structure: single point on PBEsol structure

```
data_Sr2FeAs
_chemical_formula_sum 'Sr4 Fe2 As2'
_symmetry_space_group_name_H-M 'I -4 m 2'
_symmetry_Int_Tables_number 119
_symmetry_space_group_name_Hall 'I -4 -2'
_cell_length_a 4.4226
_cell_length_b 4.4226
_cell_length_c 10.3577
_cell_angle_alpha 90.00
_cell_angle_beta 90.00
_cell_angle_gamma 90.00
loop_
_atom_site_label
_atom_site_type_symbol
_atom_site_fract_x
_atom_site_fract_y
_atom_site_fract_z
Sr1 Sr 0.0000 0.0000 0.0000
Sr2 Sr 0.0000 0.5000 0.2500
Fe1 Fe 0.0000 0.5000 0.7500
As1 As 0.0000 0.0000 0.5000
```

**Crystal system**: tetragonal
**Formation energy**: -0.02 eV per atom

---

Compound: Nb3NiH
Source: Alexandria
Functional: SCAN
Structure: single point on PBEsol structure

```
data_Nb3NiH
_chemical_formula_sum 'Nb3 Ni1 H1'
_symmetry_space_group_name_H-M 'P m -3 m'
_symmetry_Int_Tables_number 221
_symmetry_space_group_name_Hall '-P 4 2 3'
_cell_length_a 4.0569
_cell_length_b 4.0569
_cell_length_c 4.0569
_cell_angle_alpha 90.00
_cell_angle_beta 90.00
_cell_angle_gamma 90.00
loop_
_atom_site_label
_atom_site_type_symbol
_atom_site_fract_x
_atom_site_fract_y
_atom_site_fract_z
Nb1 Nb 0.0000 0.0000 0.5000
Ni1 Ni 0.5000 0.5000 0.5000
H1 H 0.0000 0.0000 0.0000
```

**Crystal system**: cubic
**Electronic total energy**: -118.92 eV per formula unit

---

Compound: RbSn3Au
Source: Alexandria
Functional: SCAN
Structure: single point on PBEsol structure

```
data_RbSn3Au
_chemical_formula_sum 'Rb1 Sn3 Au1'
_symmetry_space_group_name_H-M 'P m -3 m'
_symmetry_Int_Tables_number 221
_symmetry_space_group_name_Hall '-P 4 2 3'
_cell_length_a 5.4682
_cell_length_b 5.4682
_cell_length_c 5.4682
_cell_angle_alpha 90.00
_cell_angle_beta 90.00
_cell_angle_gamma 90.00
loop_
_atom_site_label
_atom_site_type_symbol
_atom_site_fract_x
_atom_site_fract_y
_atom_site_fract_z
Rb1 Rb 0.0000 0.0000 0.0000
Sn1 Sn 0.0000 0.5000 0.5000
Au1 Au 0.5000 0.5000 0.5000
```

**Crystal system**: cubic
**Formation energy**: 0.18 eV per atom

---

Compound: FeCuSnC2
Source: Alexandria
Functional: SCAN
Structure: single point on PBEsol structure

```
data_FeCuSnC2
_chemical_formula_sum 'Fe1 Cu1 Sn1 C2'
_symmetry_space_group_name_H-M 'P 4/m m m'
_symmetry_Int_Tables_number 123
_symmetry_space_group_name_Hall '-P 4 2'
_cell_length_a 3.7282
_cell_length_b 3.7282
_cell_length_c 4.8006
_cell_angle_alpha 90.00
_cell_angle_beta 90.00
_cell_angle_gamma 90.00
loop_
_atom_site_label
_atom_site_type_symbol
_atom_site_fract_x
_atom_site_fract_y
_atom_site_fract_z
Fe1 Fe 0.0000 0.0000 0.0000
Cu1 Cu 0.0000 0.0000 0.5000
Sn1 Sn 0.5000 0.5000 0.0000
C1 C 0.0000 0.5000 0.5000
```

**Crystal system**: tetragonal
**Formation energy**: 1.94 eV per atom

---

Compound: RbCa2Rh
Source: Alexandria
Functional: SCAN
Structure: single point on PBEsol structure

```
data_RbCa2Rh
_chemical_formula_sum 'Rb4 Ca8 Rh4'
_symmetry_space_group_name_H-M 'F m -3 m'
_symmetry_Int_Tables_number 225
_symmetry_space_group_name_Hall '-F 4 2 3'
_cell_length_a 7.5485
_cell_length_b 7.5485
_cell_length_c 7.5485
_cell_angle_alpha 90.00
_cell_angle_beta 90.00
_cell_angle_gamma 90.00
loop_
_atom_site_label
_atom_site_type_symbol
_atom_site_fract_x
_atom_site_fract_y
_atom_site_fract_z
Rb1 Rb 0.0000 0.0000 0.0000
Ca1 Ca 0.2500 0.2500 0.2500
Rh1 Rh 0.0000 0.0000 0.5000
```

**Crystal system**: cubic
**Formation energy**: 0.23 eV per atom

---

Compound: MgZrBr2
Source: Alexandria
Functional: SCAN
Structure: single point on PBEsol structure

```
data_MgZrBr2
_chemical_formula_sum 'Mg2 Zr2 Br4'
_symmetry_space_group_name_H-M 'I m m m'
_symmetry_Int_Tables_number 71
_symmetry_space_group_name_Hall '-I 2 2'
_cell_length_a 3.2836
_cell_length_b 5.4512
_cell_length_c 12.4789
_cell_angle_alpha 90.00
_cell_angle_beta 90.00
_cell_angle_gamma 90.00
loop_
_atom_site_label
_atom_site_type_symbol
_atom_site_fract_x
_atom_site_fract_y
_atom_site_fract_z
Mg1 Mg 0.0000 0.0000 0.0000
Zr1 Zr 0.0000 0.0000 0.5000
Br1 Br 0.0000 0.5000 0.1719
```

**Offset from the most stable computed form**: 0.000 eV per atom
**Crystal system**: orthorhombic
**Formation energy (no corrections)**: -2.8 eV per formula unit

---

Compound: TlVF3
Source: Alexandria
Functional: SCAN
Structure: single point on PBEsol structure

```
data_TlVF3
_chemical_formula_sum 'Tl1 V1 F3'
_symmetry_space_group_name_H-M 'P m -3 m'
_symmetry_Int_Tables_number 221
_symmetry_space_group_name_Hall '-P 4 2 3'
_cell_length_a 4.1480
_cell_length_b 4.1480
_cell_length_c 4.1480
_cell_angle_alpha 90.00
_cell_angle_beta 90.00
_cell_angle_gamma 90.00
loop_
_atom_site_label
_atom_site_type_symbol
_atom_site_fract_x
_atom_site_fract_y
_atom_site_fract_z
Tl1 Tl 0.0000 0.0000 0.0000
V1 V 0.5000 0.5000 0.5000
F1 F 0.0000 0.5000 0.5000
```

**Crystal system**: cubic
**Formation energy (no corrections)**: -13.0 eV per formula unit

---

Compound: ScCd2Si
Source: Alexandria
Functional: SCAN
Structure: single point on PBEsol structure

```
data_ScCd2Si
_chemical_formula_sum 'Sc1 Cd2 Si1'
_symmetry_space_group_name_H-M 'P 4/m m m'
_symmetry_Int_Tables_number 123
_symmetry_space_group_name_Hall '-P 4 2'
_cell_length_a 3.7042
_cell_length_b 3.7042
_cell_length_c 5.7208
_cell_angle_alpha 90.00
_cell_angle_beta 90.00
_cell_angle_gamma 90.00
loop_
_atom_site_label
_atom_site_type_symbol
_atom_site_fract_x
_atom_site_fract_y
_atom_site_fract_z
Sc1 Sc 0.0000 0.0000 0.0000
Cd1 Cd 0.5000 0.5000 0.2575
Si1 Si 0.0000 0.0000 0.5000
```

**Crystal system**: tetragonal
**Formation energy (no corrections)**: 0.0 eV per formula unit

---

Compound: AlAu3
Source: Alexandria
Functional: SCAN
Structure: single point on PBEsol structure

```
data_AlAu3
_chemical_formula_sum 'Al2 Au6'
_symmetry_space_group_name_H-M 'I 4/m m m'
_symmetry_Int_Tables_number 139
_symmetry_space_group_name_Hall '-I 4 2'
_cell_length_a 3.9618
_cell_length_b 3.9618
_cell_length_c 8.3125
_cell_angle_alpha 90.00
_cell_angle_beta 90.00
_cell_angle_gamma 90.00
loop_
_atom_site_label
_atom_site_type_symbol
_atom_site_fract_x
_atom_site_fract_y
_atom_site_fract_z
Al1 Al 0.0000 0.0000 0.0000
Au1 Au 0.0000 0.0000 0.5000
Au2 Au 0.0000 0.5000 0.2500
```

**Crystal system**: tetragonal
**Formation energy**: -0.30 eV per atom

---

no.,volume (Å³/cell)
1,303.8
2,381.7
3,93.0
4,202.6
5,66.8
6,163.5
7,66.7
8,430.1
9,223.4
10,71.4
11,78.5
12,130.5